A plane-wave DFT calculation with GGA-PBE was carried out for TbGa2Pt4 after structural relaxation.

```
TbGa2Pt4
1.0
7.842 0.000 0.000
0.000 7.842 0.000
0.000 0.000 3.991
Tb Ga Pt
2 4 8
direct
0.000 0.000 0.000
0.500 0.500 0.500
0.224 0.224 0.500
0.276 0.724 0.000
0.724 0.276 0.000
0.776 0.776 0.500
0.078 0.671 0.500
0.171 0.422 0.000
0.329 0.922 0.500
0.422 0.171 0.000
0.578 0.829 0.000
0.671 0.078 0.500
0.829 0.578 0.000
0.922 0.329 0.500
```

- N(E_F): 0.412 states/eV per atom
- Total moment: 0.00 μB per atom
- ΔE_f: -834 meV/atom
- Calculated total energy: -5.812 eV/atom
- E above lowest polymorph: 0 meV/atom

A plane-wave DFT calculation with GGA-PBE was carried out for Li2YOs after structural relaxation.

```
Li2YOs
1.0
3.350 0.000 0.000
0.000 3.350 0.000
0.000 0.000 6.997
Li Y Os
2 1 1
direct
0.000 0.000 0.000
0.500 0.500 0.202
0.500 0.500 0.613
0.000 0.000 0.388
```

- N(E_F): 0.713 states/eV per atom
- Total moment: 0.00 μB per atom
- ΔE_f: 171 meV/atom
- Calculated total energy: -5.209 eV/atom
- E above lowest polymorph: 12 meV/atom

A plane-wave DFT calculation with GGA-PBE was carried out for K2Ru after structural relaxation.

```
K2Ru
1.0
6.109 0.000 0.000
0.000 6.109 0.000
0.000 0.000 2.800
K Ru
2 1
direct
0.000 0.500 0.000
0.500 0.000 0.000
0.000 0.000 0.500
```

- N(E_F): 1.416 states/eV per atom
- Total moment: 0.19 μB per atom
- ΔE_f: 1178 meV/atom
- Calculated total energy: -2.646 eV/atom
- E above lowest polymorph: 567 meV/atom

A plane-wave DFT calculation with GGA-PBE was carried out for SrFeC after structural relaxation.

```
SrFeC
1.0
3.534 0.000 0.000
0.000 3.534 0.000
0.000 0.000 8.746
Sr Fe C
2 2 2
direct
0.250 0.250 0.211
0.750 0.750 0.789
0.250 0.750 0.500
0.750 0.250 0.500
0.250 0.250 0.591
0.750 0.750 0.409
```

- N(E_F): 0.755 states/eV per atom
- Total moment: 0.00 μB per atom
- ΔE_f: -17 meV/atom
- Calculated total energy: -6.473 eV/atom

- What is the total moment in the first record?
  0.00 μB per atom